DFT (GGA-PBEsol) results for Li2CuPt after structural relaxation.

a b c (Å): 2.8772 4.1745 4.2341
angles (deg): 90.00 90.00 90.00
Element x y z (fractional)
Pt  0.5000  0.5000  0.0000
Cu  0.0000  0.5000  0.5000
Li  0.0000  0.0000  0.0000
Li  0.5000  0.0000  0.5000

Summary:
- V: 50.86 Å³/f.u.
- Distance to the lowest polymorph of the same formula: 3 meV/atom
- Total magnetization: 0.0 μB per formula unit
- Formation energy: -31.5 kJ/mol of atoms
- DFT total energy: -16.54 eV/cell

---

DFT (GGA-PBEsol) results for CdSiC2O after structural relaxation.

a b c (Å): 4.1353 4.1814 4.1814
angles (deg): 90.00 90.00 90.00
Element x y z (fractional)
Si  0.5000  0.5000  0.5000
C  0.0000  0.0000  0.5000
C  0.0000  0.5000  0.0000
O  0.5000  0.0000  0.0000
Cd  0.0000  0.0000  0.0000

Summary:
- Formation energy (no corrections): 2488 meV/atom
- V: 72.30 Å³/f.u.
- Total magnetization: 1.4 μB per formula unit
- DFT total energy: -19.04 eV/cell